[1]
The following is a meta-GGA SCAN calculation of a PBEsol-optimized structure of Ag4SbAs, from Alexandria via LeMat-Bulk.

a b c (Å): 5.4480 5.4480 5.4480
angles (deg): 60.00 60.00 60.00
Atoms (fractional coordinates):
Ag1 0.3751 0.3751 0.3751
Ag2 0.3751 0.3751 0.8748
Ag3 0.8748 0.3751 0.3751
Ag4 0.3751 0.8748 0.3751
As1 0.7500 0.7500 0.7500
Sb1 0.0000 0.0000 0.0000



[2]
The following is a meta-GGA SCAN calculation of a PBEsol-optimized structure of AgSbAs, from Alexandria via LeMat-Bulk.

a b c (Å): 4.6755 4.6755 4.6755
angles (deg): 60.00 60.00 60.00
Atoms (fractional coordinates):
Sb1 0.0000 0.0000 0.0000
As1 0.7500 0.7500 0.7500
Ag1 0.5000 0.5000 0.5000

## Properties
* distance to the lowest polymorph of the same formula: 5.9 kJ per mole of atoms



[3]
The following is a meta-GGA SCAN calculation of a PBEsol-optimized structure of AgSbAs2, from Alexandria via LeMat-Bulk.

a b c (Å): 4.8504 4.8504 4.8504
angles (deg): 60.00 60.00 60.00
Atoms (fractional coordinates):
Sb1 0.5000 0.5000 0.5000
As1 0.2500 0.2500 0.2500
As2 0.7500 0.7500 0.7500
Ag1 0.0000 0.0000 0.0000

## Properties
* distance to the lowest polymorph of the same formula: 22.4 kJ per mole of atoms



[4]
The following is a meta-GGA SCAN calculation of a PBEsol-optimized structure of AgSb2As, from Alexandria via LeMat-Bulk.

a b c (Å): 6.2231 6.2231 7.5347
angles (deg): 114.39 114.39 90.00
Atoms (fractional coordinates):
Sb1 0.3711 0.8750 0.2500
Sb2 0.8789 0.3750 0.2500
Sb3 0.1250 0.1211 0.7500
Sb4 0.6250 0.6289 0.7500
As1 0.7500 0.2500 0.5000
As2 0.5000 0.5000 0.0000
Ag1 0.2500 0.7500 0.5000
Ag2 0.0000 0.0000 0.0000

## Properties
* distance to the lowest polymorph of the same formula: 0.0 kJ per mole of atoms



Number 1: electronic total energy -181.38 eV per formula unit, raw formation energy 0.257 eV per atom. Number 2: electronic total energy -87.95 eV per formula unit, raw formation energy 0.291 eV per atom. Number 3: electronic total energy -107.33 eV per formula unit, raw formation energy 0.419 eV per atom. Number 4: electronic total energy -125.42 eV per formula unit, raw formation energy 0.164 eV per atom.